Record 1
First-principles (PBE) data for LiTa2Ir after structural relaxation, as listed in the Alexandria database.

```
LiTa2Ir
1.0
-1.658 2.214 4.396
1.658 -2.214 4.396
1.658 2.214 -4.396
Li Ta Ir
1 2 1
direct
0.000 0.000 0.000
0.265 0.765 0.500
0.735 0.235 0.500
0.500 0.500 0.000
```

Calculated values
space group	No. 71
formation energy from the elements	-0.060	eV/atom
N(E_F)	2.4	states/eV/cell

---

Record 2
First-principles (PBE) data for La4Y2Sb3N2 after structural relaxation, as listed in the Alexandria database.

```
La4Y2Sb3N2
1.0
-2.419 2.419 13.050
2.419 -2.419 13.050
2.419 2.419 -13.050
La Y Sb N
4 2 3 2
direct
0.085 0.585 0.500
0.415 0.915 0.500
0.585 0.085 0.500
0.915 0.415 0.500
0.195 0.195 0.000
0.805 0.805 0.000
0.317 0.317 0.000
0.500 0.500 0.000
0.683 0.683 0.000
0.111 0.111 0.000
0.889 0.889 0.000
```

Calculated values
space group	No. 139
formation energy (no corrections)	-1177	meV/atom
N(E_F)	3.3	states/eV/cell

---

Record 3
First-principles (PBE) data for Sm2CdIrC after structural relaxation, as listed in the Alexandria database.

```
Sm2CdIrC
1.0
5.237 0.000 0.000
0.000 5.237 0.000
0.000 0.000 3.896
Sm Cd Ir C
2 1 1 1
direct
0.000 0.500 0.000
0.500 0.000 0.000
0.000 0.000 0.500
0.500 0.500 0.500
0.500 0.500 0.000
```

Calculated values
space group	No. 123
formation energy from the elements	-0.445	eV/atom
N(E_F)	2.5	states/eV/cell

---

no.,DFT total energy (eV for the cell shown)
1,-34.72
2,-74.60
3,-30.66